Compound: Mn2CuTeO8
Source: Alexandria via LeMat-Bulk
Functional: PBE with a Hubbard U
Structure: relaxed

The total moment comes out at 2.999 Bohr magnetons per cell. Its space group is I-4m2, No. 119. Its density of states at the Fermi level is 0.276 states/eV/atom. The total energy is -5.80 eV/atom.

POSCAR file:
```
Mn2CuTeO8
1.0
5.719 0.190 0.000
-2.366 5.210 0.000
-1.676 -2.700 4.759
Mn Cu Te O
2 1 1 8
Direct
0.750 0.250 0.500 Mn
0.500 0.500 0.000 Mn
0.250 0.750 0.500 Cu
0.000 0.000 0.000 Te
0.384 0.076 0.308 O
0.301 0.490 0.189 O
0.301 0.112 0.811 O
0.768 0.076 0.692 O
0.888 0.699 0.189 O
0.924 0.232 0.308 O
0.924 0.616 0.692 O
0.510 0.699 0.811 O
```